*A*
Density functional theory data (PBE-GGA) for crystalline La8NdEr2 at its relaxed geometry.

The space group is C2/m (No. 12) and the conventional cell measures 19.656, 7.200 and 5.791 Å, with angles of 90.00, 92.95 and 90.00 degrees. The asymmetric unit holds La at (0.044, 0.000, 0.239), La at (0.133, 0.226, 0.735), La at (0.186, 0.500, 0.236), Nd at (0.000, 0.500, 0.000) and Er at (0.216, 0.000, 0.254).

The value obtained for the density of states at the Fermi level is 1.632 states/eV/atom. The mass density is 6.45 g/cm3.

***

*B*
Density functional theory data (PBE-GGA) for crystalline La8NdEr2 at its relaxed geometry.

The space group is Immm (No. 71) and the conventional cell measures 5.783, 8.373 and 16.372 Å, with angles of 90.00, 90.00 and 90.00 degrees. The asymmetric unit holds La at (0.000, 0.000, 0.163), La at (0.000, 0.200, 0.363), La at (0.000, 0.295, 0.000), Nd at (0.000, 0.500, 0.500) and Er at (0.000, 0.500, 0.201).

The value obtained for the density of states at the Fermi level is 1.518 states/eV/atom. The mass density is 6.66 g/cm3.

***

The structure with the greatest stability is *B*.

***

*A*
Density functional theory data (PBE-GGA) for crystalline La2Nd2Er3 at its relaxed geometry.

The space group is C2/m (No. 12) and the conventional cell measures 9.586, 6.041 and 9.261 Å, with angles of 90.00, 117.86 and 90.00 degrees. The asymmetric unit holds La at (0.077, 0.000, 0.213), Nd at (0.214, 0.000, 0.643), Er at (0.000, 0.500, 0.500) and Er at (0.142, 0.500, 0.932).

The value obtained for the density of states at the Fermi level is 2.093 states/eV/atom. The mass density is 7.48 g/cm3.

***

*B*
Density functional theory data (PBE-GGA) for crystalline La2Nd2Er3 at its relaxed geometry.

The space group is P2_1/c (No. 14) and the conventional cell measures 6.405, 11.856 and 6.396 Å, with angles of 90.00, 97.10 and 90.00 degrees. The asymmetric unit holds La at (0.031, 0.151, 0.463), Nd at (0.402, 0.719, 0.705), Er at (0.243, 0.039, 0.962) and Er at (0.500, 0.000, 0.500).

The value obtained for the density of states at the Fermi level is 1.714 states/eV/atom. The mass density is 7.36 g/cm3.

***

The structure with the greatest stability is *A*.

***

*A*
Density functional theory data (PBE-GGA) for crystalline La2Nd6Er at its relaxed geometry.

The space group is P4_2/mnm (No. 136) and the conventional cell measures 11.009, 11.009 and 5.221 Å, with angles of 90.00, 90.00 and 90.00 degrees. The asymmetric unit holds La at (0.165, 0.165, 0.000), Nd at (0.000, 0.333, 0.500), Nd at (0.167, 0.833, 0.000) and Er at (0.000, 0.000, 0.500).

The value obtained for the density of states at the Fermi level is 1.430 states/eV/atom. The mass density is 6.88 g/cm3.

***

*B*
Density functional theory data (PBE-GGA) for crystalline La2Nd6Er at its relaxed geometry.

The space group is P-6m2 (No. 187) and the conventional cell measures 3.6685, 3.6685 and 27.4064 Å, with angles of 90.00, 90.00 and 120.00 degrees. The asymmetric unit holds La at (0.0000, 0.0000, 0.1712), Nd at (0.0000, 0.0000, 0.3951), Nd at (0.6667, 0.3333, 0.0622), Nd at (0.6667, 0.3333, 0.2857) and Er at (0.6667, 0.3333, 0.5000).

The value obtained for the density of states at the Fermi level is 1.763 states/eV/atom. The mass density is 6.81 g/cm3.

***

The structure with the greatest stability is *A*.